# PBE-GGA MgZn2, optimized geometry
# crystal system = orthorhombic
# energy of formation = -0.04 eV per atom
# space-group type = Pnma, No. 62
# VASP energy = -1.42 eV/atom
data_MgZn2
_cell_length_a 5.859
_cell_length_b 4.119
_cell_length_c 8.439
_cell_angle_alpha 90.00
_cell_angle_beta 90.00
_cell_angle_gamma 90.00
_symmetry_space_group_name_H-M 'P 1'
_symmetry_Int_Tables_number 1
loop_
_symmetry_equiv_pos_as_xyz
'x,y,z'
loop_
_atom_site_label
_atom_site_type_symbol
_atom_site_fract_x
_atom_site_fract_y
_atom_site_fract_z
Mg1 Mg 0.135 0.250 0.907
Mg2 Mg 0.365 0.750 0.407
Mg3 Mg 0.635 0.250 0.593
Mg4 Mg 0.865 0.750 0.093
Zn1 Zn 0.114 0.250 0.254
Zn2 Zn 0.127 0.250 0.577
Zn3 Zn 0.373 0.750 0.077
Zn4 Zn 0.386 0.750 0.754
Zn5 Zn 0.614 0.250 0.246
Zn6 Zn 0.627 0.250 0.923
Zn7 Zn 0.873 0.750 0.423
Zn8 Zn 0.886 0.750 0.746